DFT (PBE) results for a relaxed structure of PrErNiAu.

The structure in POSCAR format:
```
PrErNiAu
1.0
-0.610 4.152 -2.803
0.887 -0.155 -4.966
-3.841 0.302 -3.260
Pr Au Er Ni
1 1 1 1
direct
0.500 0.500 0.500
0.750 0.750 0.750
0.000 0.000 0.000
0.250 0.250 0.250
```

Summary:
The formation energy from the elements is -512 meV/atom. For the mass density, the calculation gives 10.3 g/cm3.



DFT (PBE) results for a relaxed structure of Re2WBr.

The structure in POSCAR format:
```
Re2WBr
1.0
-2.655 0.085 -0.621
1.470 -0.903 -2.113
-1.197 -10.546 3.676
Re W Br
2 1 1
direct
0.000 0.000 0.059
0.000 0.000 0.441
0.500 0.500 0.250
0.500 0.500 0.750
```

Summary:
The energy above the lowest structure with this stoichiometry comes out at 0.187 eV/atom. For the formation energy from raw total energies, the calculation gives 77.07 kJ per mole of atoms. For the mass density, the calculation gives 13.5 g/cm3.



DFT (PBE) results for a relaxed structure of Sn2PdRh.

The structure in POSCAR format:
```
Sn2PdRh
1.0
4.209 0.000 0.000
2.105 3.645 0.000
2.105 1.215 5.289
Sn Pd Rh
2 1 1
direct
0.261 0.261 0.217
0.073 0.073 0.780
0.492 0.492 0.524
0.674 0.674 0.978
```

Summary:
The formation energy from the elements is -326 meV/atom. The energy above the lowest structure with this stoichiometry comes out at 0.016 eV/atom. For the mass density, the calculation gives 9.1 g/cm3.



DFT (PBE) results for a relaxed structure of SrAsIr.

The structure in POSCAR format:
```
SrAsIr
1.0
-3.807 1.111 2.456
-0.336 -1.259 4.479
0.250 3.231 3.356
Sr As Ir
1 1 1
direct
0.000 0.000 0.000
0.500 0.500 0.500
0.750 0.750 0.750
```

Summary:
The formation energy from the elements is -58 meV/atom. For the mass density, the calculation gives 8.2 g/cm3.